# 1
Density functional theory data (PBE) for Ce2HfAs3 after structural relaxation. Values from VASP.

```
&SYSTEM
  ibrav = 0, nat = 6, ntyp = 3
/
ATOMIC_SPECIES
As 74.92 As.upf
Ce 140.12 Ce.upf
Hf 178.49 Hf.upf
CELL_PARAMETERS angstrom
-1.559 -0.455 -3.760
-3.474 -1.450 1.615
-0.652 8.930 1.420
ATOMIC_POSITIONS crystal
As 0.275 0.276 0.555
As 0.934 0.936 0.874
As 0.594 0.595 0.193
Ce 0.101 0.102 0.207
Ce 0.768 0.769 0.541
Hf 0.434 0.436 0.874
```

Properties
Space-group type = No. 139
DOS at the Fermi energy = 1.546 states/eV per atom
Crystal system = tetragonal
Formation energy = -1.218 eV per atom
M_tot = 1.07 Bohr magnetons per cell
Theoretical density = 7.875 g cm⁻³

=====

# 2
Density functional theory data (PBE) for Sr2LiMn after structural relaxation. Values from VASP.

```
&SYSTEM
  ibrav = 0, nat = 4, ntyp = 3
/
ATOMIC_SPECIES
Li 6.94 Li.upf
Sr 87.62 Sr.upf
Mn 54.94 Mn.upf
CELL_PARAMETERS angstrom
4.048 0.000 0.000
0.000 4.026 -0.025
0.000 4.075 8.207
ATOMIC_POSITIONS crystal
Li 0.500 0.250 0.250
Sr 0.000 0.019 0.981
Sr 0.000 0.481 0.519
Mn 0.500 0.750 0.750
```

Properties
Excess energy over the best structure of this formula in the dataset = 0.000 eV per atom
Space-group type = No. 47
DOS at the Fermi energy = 0.988 states/eV per atom
Crystal system = orthorhombic
Formation energy = 0.325 eV per atom
M_tot = 3.73 Bohr magnetons per cell
Theoretical density = 2.935 g cm⁻³